[1]
PBE U6Al8Fe5Si9, optimized geometry; calculated density = 8.04 Mg/m³; raw total energy = -7.131 eV/atom; size of the total moment = 8.233 μB per cell
1.0
-2.040 6.089 9.050
2.040 -6.089 9.050
2.040 6.089 -9.050
U Al Fe Si
6 8 5 9
Cartesian
0.000 0.000 2.311 U
2.040 -2.268 6.778 U
0.000 3.822 2.272 U
2.040 2.268 6.778 U
0.000 8.357 2.272 U
0.000 0.000 15.789 U
0.000 1.831 0.000 Al
2.040 0.000 4.784 Al
2.040 4.093 0.000 Al
0.000 0.000 6.945 Al
0.000 0.000 11.155 Al
0.000 1.997 9.050 Al
0.000 6.089 4.266 Al
0.000 10.348 0.000 Al
2.040 0.000 0.000 Fe
2.040 -2.260 3.866 Fe
2.040 2.260 3.866 Fe
0.000 3.830 5.185 Fe
0.000 8.349 5.185 Fe
2.040 1.886 -1.596 Si
2.040 4.504 -4.323 Si
2.040 1.886 1.596 Si
0.000 1.586 4.728 Si
0.000 6.089 0.000 Si
2.040 4.504 4.323 Si
0.000 4.203 7.454 Si
0.000 1.586 13.373 Si
0.000 4.203 10.646 Si

***

[2]
PBE U2Al2FeSi4, optimized geometry; calculated density = 8.07 Mg/m³; raw total energy = -7.034 eV/atom; size of the total moment = 0.001 μB per cell
1.0
-2.962 2.962 4.091
2.962 -2.962 4.091
2.962 2.962 -4.091
U Al Fe Si
2 2 1 4
Cartesian
2.962 0.000 2.046 U
0.000 2.962 2.046 U
0.000 0.000 1.781 Al
0.000 0.000 6.402 Al
0.000 0.000 4.091 Fe
1.352 1.352 0.000 Si
1.611 -1.611 4.091 Si
-1.611 1.611 4.091 Si
1.611 1.611 4.091 Si

***

[3]
PBE U6Al8Fe5Si5, optimized geometry; calculated density = 8.21 Mg/m³; raw total energy = -7.047 eV/atom; size of the total moment = 4.206 μB per cell
1.0
-2.103 6.079 8.168
2.103 -6.079 8.168
2.103 6.079 -8.168
U Al Fe Si
6 8 5 5
Cartesian
0.000 0.000 2.400 U
2.103 -2.274 6.018 U
0.000 3.804 2.150 U
2.103 2.274 6.018 U
0.000 8.353 2.150 U
0.000 0.000 13.936 U
0.000 1.712 0.000 Al
2.103 0.000 4.355 Al
2.103 4.080 0.000 Al
0.000 0.000 6.161 Al
0.000 0.000 10.175 Al
0.000 1.999 8.168 Al
0.000 6.079 3.813 Al
0.000 10.445 0.000 Al
2.103 0.000 0.000 Fe
2.103 -2.415 3.879 Fe
2.103 2.415 3.879 Fe
0.000 3.664 4.289 Fe
0.000 8.494 4.289 Fe
2.103 1.827 -1.579 Si
2.103 1.827 1.579 Si
0.000 6.079 0.000 Si
0.000 4.252 6.589 Si
0.000 4.252 9.747 Si